(1)
Computed, not measured: crystalline La2NiGeN at its relaxed geometry at the PBE level of DFT.

abc: 3.905 6.620 8.558
angles: 108.35 90.00 90.00
Sites, in units of the cell vectors:
1 Ni 0.750 0.461 0.243
2 Ni 0.250 0.539 0.757
3 N 0.750 0.159 0.164
4 N 0.250 0.841 0.836
5 Ge 0.250 0.688 0.307
6 Ge 0.750 0.312 0.693
7 La 0.750 0.781 0.035
8 La 0.250 0.211 0.383
9 La 0.750 0.789 0.617
10 La 0.250 0.219 0.965

Computed properties:
Space group: P2_1/m
ΔE_f (raw), eV per atom: -0.92
Raw total energy, eV per cell: -66.357

---

(2)
Computed, not measured: crystalline LaNi2GeN at its relaxed geometry at the PBE level of DFT.

abc: 3.682 5.998 7.048
angles: 90.00 90.00 107.87
Sites, in units of the cell vectors:
1 Ni 0.166 0.332 0.552
2 Ni 0.166 0.332 0.948
3 Ni 0.834 0.668 0.052
4 Ni 0.834 0.668 0.448
5 La 0.462 0.924 0.750
6 La 0.538 0.076 0.250
7 Ge 0.268 0.537 0.250
8 Ge 0.732 0.463 0.750
9 N 0.000 0.000 0.500
10 N 0.000 0.000 0.000

Computed properties:
Space group: Cmcm
ΔE_f (raw), eV per atom: -0.71
Raw total energy, eV per cell: -65.963

---

(3)
Computed, not measured: crystalline La2NiGeN at its relaxed geometry at the PBE level of DFT.

abc: 5.285 5.285 3.685
angles: 90.00 90.00 90.00
Site moments in Bohr magnetons follow the coordinates.
Sites, in units of the cell vectors:
1 Ge 0.500 0.500 0.500  0.02
2 La 0.500 0.000 0.000  0.01
3 La 0.000 0.500 0.000  0.01
4 Ni 0.000 0.000 0.500  0.31
5 N 0.000 0.000 0.000  0.07

Computed properties:
Space group: P4/mmm
ΔE_f (raw), eV per atom: -0.79
Raw total energy, eV per cell: -32.528

---

(4)
Computed, not measured: crystalline LaGeN2O at its relaxed geometry at the PBE level of DFT.

abc: 3.835 3.835 4.080
angles: 90.00 90.00 90.00
Site moments in Bohr magnetons follow the coordinates.
Sites, in units of the cell vectors:
1 La 0.500 0.500 0.500  0.00
2 N 0.500 0.000 0.000  0.07
3 N 0.000 0.500 0.000  0.07
4 O 0.000 0.000 0.500  0.01
5 Ge 0.000 0.000 0.000  0.00

Computed properties:
Space group: P4/mmm
ΔE_f (raw), eV per atom: -0.91
Raw total energy, eV per cell: -35.703